# PBE-GGA Al2AsP, relaxed
# E_form, kJ/mol of atoms: -23.3
data_Al2AsP
_chemical_formula_sum 'Al4 As2 P2'
_cell_length_a 5.1754
_cell_length_b 5.1987
_cell_length_c 5.1988
_cell_angle_alpha 90.00
_cell_angle_beta 90.00
_cell_angle_gamma 90.00
_symmetry_space_group_name_H-M 'A m m 2'
_symmetry_Int_Tables_number 38
loop_
_symmetry_equiv_pos_as_xyz
'x,y,z'
'-x,-y,z'
'-x,y,z'
'x,-y,z'
'x,y+1/2,z+1/2'
'-x,-y+1/2,z+1/2'
'-x,y+1/2,z+1/2'
'x,-y+1/2,z+1/2'
loop_
_atom_site_label
_atom_site_fract_x
_atom_site_fract_y
_atom_site_fract_z
_atom_site_occupancy
Al1 0.0000 0.0000 0.0000 1
Al2 0.5000 0.0000 0.4979 1
As1 0.0000 0.0000 0.5000 1
P1 0.5000 0.0000 0.9984 1